VASP calculation (PBE) on a relaxed structure of LaTlCr2.

The space group is P4/mmm (No. 123) and the conventional cell measures 3.599, 3.599 and 7.170 Å, with angles of 90.00, 90.00 and 90.00 degrees. Symmetry generates all atoms from La at (0.000, 0.000, 0.000), Tl at (0.000, 0.000, 0.500) and Cr at (0.500, 0.500, 0.288).

The calculation puts the uncorrected energy at -6.058 eV/atom. Its crystal system is tetragonal.